VASP calculation (PBE) on an optimized crystal structure of Tl2AsAuI6.

Output
**Calculated volume**: 42.3 A^3/atom
**Crystal system**: monoclinic
**Energy**: -50.2 eV per cell
**Magnetization**: 0.00 Bohr magnetons per cell
**ΔE_f (raw)**: -3.1 eV/f.u.

Cell lengths 8.129, 12.636, 10.363 Å; angles 90.00, 127.30, 90.00 degrees
Sites, in units of the cell vectors:
1 Tl 0.190 0.161 0.264
2 Tl 0.190 0.339 0.764
3 Tl 0.810 0.661 0.236
4 Tl 0.810 0.839 0.736
5 As 0.500 0.000 0.000
6 As 0.500 0.500 0.500
7 Au 0.000 0.000 0.500
8 Au 0.000 0.500 0.000
9 I 0.114 0.094 0.897
10 I 0.114 0.406 0.397
11 I 0.314 0.706 0.404
12 I 0.314 0.794 0.904
13 I 0.392 0.042 0.677
14 I 0.392 0.458 0.177
15 I 0.608 0.542 0.823
16 I 0.608 0.958 0.323
17 I 0.686 0.206 0.096
18 I 0.686 0.294 0.596
19 I 0.886 0.594 0.603
20 I 0.886 0.906 0.103

VASP calculation (PBE) on an optimized crystal structure of Pr2InSb3Rh4.

Output
**Calculated volume**: 21.7 A^3/atom
**Crystal system**: tetragonal
**Energy**: -61.8 eV per cell
**Magnetization**: 0.00 Bohr magnetons per cell
**Fermi-level density of states**: 7.155 states/eV per cell
**ΔE_f (raw)**: -7.8 eV/f.u.

Cell lengths 4.473, 4.473, 10.849 Å; angles 90.00, 90.00, 90.00 degrees
Sites, in units of the cell vectors:
1 Pr 0.000 0.500 0.249
2 Pr 0.500 0.000 0.751
3 In 0.000 0.000 0.500
4 Sb 0.000 0.500 0.869
5 Sb 0.500 0.000 0.131
6 Sb 0.500 0.500 0.500
7 Rh 0.000 0.000 0.000
8 Rh 0.000 0.500 0.634
9 Rh 0.500 0.000 0.366
10 Rh 0.500 0.500 0.000

VASP calculation (PBE) on an optimized crystal structure of SrNb3Sn.

Output
**Calculated volume**: 23.8 A^3/atom
**Crystal system**: cubic
**Formation energy from the elements**: 11.3 eV per formula unit
**Energy**: -24.6 eV per cell
**Magnetization**: 0.00 Bohr magnetons per cell
**Fermi-level density of states**: 3.647 states/eV per cell
**ΔE to the lowest computed polymorph**: 0.9203 eV per atom

Cell lengths 4.921, 4.921, 4.921 Å; angles 90.00, 90.00, 90.00 degrees
Sites, in units of the cell vectors:
1 Sr 0.000 0.000 0.000
2 Nb 0.000 0.000 0.500
3 Nb 0.000 0.500 0.000
4 Nb 0.500 0.000 0.000
5 Sn 0.500 0.500 0.500

VASP calculation (PBE) on an optimized crystal structure of Zn2AsPb.

Output
**Calculated volume**: 22.8 A^3/atom
**Crystal system**: trigonal
**Formation energy from the elements**: 0.3 eV per formula unit
**Energy**: -10.6 eV per cell
**Magnetization**: 0.00 Bohr magnetons per cell
**Fermi-level density of states**: 1.747 states/eV per cell

Cell lengths 6.933, 6.933, 6.933 Å; angles 33.63, 33.63, 33.63 degrees
Sites, in units of the cell vectors:
1 Zn 0.000 0.000 0.000
2 Zn 0.211 0.211 0.211
3 As 0.609 0.609 0.609
4 Pb 0.443 0.443 0.443